Here is a relaxed structure of Y2TePb from Alexandria. Energies are from PBEsol.

Unit cell a=4.352 b=4.349 c=7.545 alpha=106.79 beta=90.00 gamma=120.02
Element x y z (fractional)
1 Pb 0.000 0.000 0.500
2 Y 0.747 0.494 0.741
3 Y 0.253 0.506 0.259
4 Te 0.500 0.000 0.000

Output
V = 29.1 Å³/atom
Uncorrected formation energy = -1.015 eV per atom
DFT total energy = -0.2318 hartree per atom
N(E_F) = 0.252 states/eV/atom
Distance to the lowest polymorph of the same formula = 0.009 eV/atom